This record from Alexandria describes a geometry-optimized K2AlSe structure. The functional is GGA-PBE.

Computed properties:
* formation energy (no corrections): -0.161 eV per atom
* E above lowest polymorph: 307 meV per atom

a = 6.2926 Å, b = 6.2926 Å, c = 6.2926 Å
α = 134.16°, β = 134.16°, γ = 66.84°
Fractional coordinates of all 4 atoms:
K: 0.0000 0.0000 0.0000
K: 0.2500 0.7500 0.5000
Se: 0.5000 0.5000 0.0000
Al: 0.7500 0.2500 0.5000

---

This record from Alexandria describes a geometry-optimized Pr3ZnIn2 structure. The functional is GGA-PBE.

Computed properties:
* formation energy from the elements: -430 meV per atom

a = 3.7713 Å, b = 3.7713 Å, c = 11.9754 Å
α = 90.00°, β = 90.00°, γ = 90.00°
Fractional coordinates of all 6 atoms:
In: 0.5000 0.5000 0.1766
In: 0.5000 0.5000 0.8234
Zn: 0.5000 0.5000 0.5000
Pr: 0.0000 0.0000 0.6499
Pr: 0.0000 0.0000 0.3501
Pr: 0.0000 0.0000 0.0000

---

This record from Alexandria describes a geometry-optimized MgCdPb2 structure. The functional is GGA-PBE.

Computed properties:
* formation energy from the elements: 10 meV per atom
* E above lowest polymorph: 36 meV per atom

a = 6.3889 Å, b = 6.3889 Å, c = 6.3889 Å
α = 147.31°, β = 129.10°, γ = 61.82°
Fractional coordinates of all 4 atoms:
Mg: 0.2620 0.7620 0.5000
Cd: 0.4846 0.4846 0.0000
Pb: 0.0134 0.0134 0.0000
Pb: 0.7400 0.2400 0.5000

---

This record from Alexandria describes a geometry-optimized CaNiGe2 structure. The functional is GGA-PBE.

Computed properties:
* formation energy from the elements: 16 meV per atom

a = 4.0058 Å, b = 4.0058 Å, c = 7.7392 Å
α = 75.00°, β = 75.00°, γ = 60.00°
Fractional coordinates of all 4 atoms:
Ge: 0.8665 0.8665 0.4004
Ge: 0.1335 0.1335 0.5996
Ni: 0.5000 0.5000 0.5000
Ca: 0.0000 0.0000 0.0000

---

This record from Alexandria describes a geometry-optimized HoMg3Pd12 structure. The functional is GGA-PBE.

Computed properties:
* formation energy from the elements: -570 meV per atom

a = 4.0226 Å, b = 4.0226 Å, c = 15.9157 Å
α = 90.00°, β = 90.00°, γ = 90.00°
Fractional coordinates of all 16 atoms:
Pd: 0.0000 0.5000 0.3781
Pd: 0.0000 0.5000 0.1326
Pd: 0.5000 0.5000 0.2554
Pd: 0.5000 0.5000 0.0000
Pd: 0.5000 0.0000 0.1326
Pd: 0.0000 0.5000 0.8674
Pd: 0.5000 0.0000 0.3781
Pd: 0.5000 0.5000 0.7446
Pd: 0.5000 0.5000 0.5000
Pd: 0.0000 0.5000 0.6219
Pd: 0.5000 0.0000 0.6219
Pd: 0.5000 0.0000 0.8674
Mg: 0.0000 0.0000 0.5000
Mg: 0.0000 0.0000 0.7444
Mg: 0.0000 0.0000 0.2556
Ho: 0.0000 0.0000 0.0000

---

This record from Alexandria describes a geometry-optimized Ac2BeSi2Ir2 structure. The functional is GGA-PBE.

Computed properties:
* formation energy (no corrections): -0.716 eV per atom

a = 4.3579 Å, b = 6.3446 Å, c = 6.2980 Å
α = 74.46°, β = 69.76°, γ = 69.91°
Fractional coordinates of all 7 atoms:
Ir: 0.2100 0.6683 0.9118
Ir: 0.7900 0.3317 0.0882
Be: 0.0000 0.0000 0.0000
Si: 0.8096 0.6293 0.7514
Si: 0.1904 0.3707 0.2486
Ac: 0.4357 0.8065 0.3220
Ac: 0.5643 0.1935 0.6780

---

This record from Alexandria describes a geometry-optimized LaCrCl structure. The functional is GGA-PBE.

Computed properties:
* formation energy (no corrections): -0.250 eV per atom
* E above lowest polymorph: 6 meV per atom

a = 7.1027 Å, b = 7.2074 Å, c = 3.5321 Å
α = 74.07°, β = 77.36°, γ = 28.57°
Fractional coordinates of all 3 atoms:
La: 0.6603 0.6603 0.3397
Cr: 0.3190 0.3190 0.6810
Cl: 0.0207 0.0207 0.9793

---

This record from Alexandria describes a geometry-optimized IrPtF2 structure. The functional is GGA-PBE.

Computed properties:
* formation energy (no corrections): 0.572 eV per atom
* E above lowest polymorph: 1080 meV per atom

a = 4.2030 Å, b = 4.2030 Å, c = 4.2030 Å
α = 60.00°, β = 60.00°, γ = 60.00°
Fractional coordinates of all 4 atoms:
F: 0.2500 0.2500 0.2500
F: 0.7500 0.7500 0.7500
Pt: 0.5000 0.5000 0.5000
Ir: 0.0000 0.0000 0.0000